# 1
Ni2Sb | PBE | optimized geometry

abc: 7.8154 7.8154 7.8154
angles: 60.00 60.00 60.00
Element x y z (fractional)
Ni  0.0000  0.0000  0.0000
Ni  0.0000  0.0000  0.5000
Ni  0.0000  0.5000  0.0000
Ni  0.5000  0.0000  0.0000
Sb  0.1250  0.1250  0.1250
Sb  0.8750  0.8750  0.8750

Calculated values
**Crystal system**: cubic
**Total DFT energy (no corrections)**: -21.7 eV for the cell shown
**Symmetry**: Fd-3m, No. 227

# 2
RbUAl | PBE | optimized geometry

abc: 5.4425 5.4425 5.4425
angles: 60.00 60.00 60.00
Element x y z (fractional)
Rb  0.0000  0.0000  0.0000
U  0.5000  0.5000  0.5000
Al  0.2500  0.2500  0.2500

Calculated values
**Crystal system**: cubic
**E above lowest polymorph**: 0.000 eV/atom
**Total DFT energy (no corrections)**: -11.6 eV for the cell shown
**Symmetry**: F-43m, No. 216

# 3
HfNiSbPt | PBE | optimized geometry

abc: 4.6191 4.6191 4.6191
angles: 60.00 60.00 60.00
Element x y z (fractional)
Hf  0.0000  0.0000  0.0000
Ni  0.7500  0.7500  0.7500
Sb  0.5000  0.5000  0.5000
Pt  0.2500  0.2500  0.2500

Calculated values
**Crystal system**: cubic
**E above lowest polymorph**: 0.000 eV/atom
**Total DFT energy (no corrections)**: -27.6 eV for the cell shown
**Symmetry**: F-43m, No. 216

# 4
GdEr3Lu2Te2Os | PBE | optimized geometry

abc: 4.0334 8.2568 8.2568
angles: 121.02 90.00 90.00
Element x y z (fractional)
Gd  0.0000  0.0000  0.0000
Er  0.5000  0.1501  0.7599
Er  0.5000  0.3762  0.3762
Er  0.5000  0.7599  0.1501
Lu  0.0000  0.5220  0.7617
Lu  0.0000  0.7617  0.5220
Te  0.0000  0.0912  0.4311
Te  0.0000  0.4311  0.0912
Os  0.5000  0.7450  0.7450

Calculated values
**Crystal system**: orthorhombic
**Total DFT energy (no corrections)**: -51.3 eV for the cell shown
**Symmetry**: Amm2, No. 38